Record 1
SrSbPt2 (PBEsol, relaxed); total moment = 0.00 μB per cell; crystal system = tetragonal; symmetry = I-42d; D(E_F) = 6.1 states/eV/cell
1.0
5.074 0.000 0.000
0.000 5.074 0.000
0.000 0.000 17.585
Sr Sb Pt
4 4 8
Direct
0.000 0.000 0.000
0.000 0.500 0.250
0.500 0.000 0.750
0.500 0.500 0.500
0.000 0.000 0.500
0.000 0.500 0.750
0.500 0.000 0.250
0.500 0.500 0.000
0.049 0.250 0.625
0.250 0.549 0.875
0.250 0.951 0.375
0.451 0.250 0.125
0.549 0.750 0.125
0.750 0.049 0.375
0.750 0.451 0.875
0.951 0.750 0.625

=====

Record 2
SrSbPt3 (PBEsol, relaxed); total moment = 0.00 μB per cell; crystal system = cubic; symmetry = Pm-3m; D(E_F) = 4.6 states/eV/cell
1.0
5.062 0.000 0.000
0.000 5.062 0.000
0.000 0.000 5.062
Sr Sb Pt
1 1 3
Direct
0.000 0.000 0.000
0.500 0.500 0.500
0.000 0.000 0.500
0.000 0.500 0.000
0.500 0.000 0.000

=====

Record 3
Sr4SbPt (PBEsol, relaxed); total moment = 0.00 μB per cell; crystal system = cubic; symmetry = F-43m; D(E_F) = 4.9 states/eV/cell
1.0
0.000 4.544 4.544
4.544 0.000 4.544
4.544 4.544 0.000
Sr Sb Pt
4 1 1
Direct
0.125 0.125 0.125
0.125 0.125 0.625
0.125 0.625 0.125
0.625 0.125 0.125
0.750 0.750 0.750
0.500 0.500 0.500

=====

Record 4
SrSbPt2 (PBEsol, relaxed); total moment = 0.00 μB per cell; crystal system = tetragonal; symmetry = P4mm; D(E_F) = 2.0 states/eV/cell
1.0
3.598 0.000 0.000
0.000 3.598 0.000
0.000 0.000 6.733
Sr Sb Pt
1 1 2
Direct
0.000 0.000 0.000
0.500 0.500 0.635
0.000 0.000 0.473
0.500 0.500 0.253

=====

Record-wise formation energy without anion corrections values, in meV/atom: -467 1534 346 -402